# BeCuNi2Hg

Crystalline BeCuNi2Hg at its relaxed geometry (PBE, Alexandria).

Cell and atoms, written as POSCAR:
```
BeCuNi2Hg
1.0
4.3388 0.0000 0.0000
0.0000 4.3388 0.0000
0.0000 0.0000 4.7165
Be Cu Ni Hg
1 1 2 1
Direct
0.0000 0.0000 0.0000 Be
0.5000 0.5000 0.5000 Cu
0.0000 0.5000 0.5000 Ni
0.5000 0.0000 0.5000 Ni
0.5000 0.5000 0.0000 Hg
```

Results
- ΔH_f (0 K): 1.1813 eV/atom
- N(E_F): 0.8319 states/eV per atom
- E_tot: -2.76 eV/atom


# BeCuHgRu2

Crystalline BeCuHgRu2 at its relaxed geometry (PBE, Alexandria).

Cell and atoms, written as POSCAR:
```
BeCuHgRu2
1.0
4.2194 0.0000 0.0000
0.0000 4.2194 0.0000
0.0000 0.0000 4.1155
Be Cu Hg Ru
1 1 1 2
Direct
0.0000 0.0000 0.0000 Be
0.0000 0.0000 0.5000 Cu
0.5000 0.5000 0.5000 Hg
0.0000 0.5000 0.0000 Ru
0.5000 0.0000 0.0000 Ru
```

Results
- ΔH_f (0 K): 0.5574 eV/atom
- N(E_F): 0.7693 states/eV per atom
- E_tot: -4.78 eV/atom


# TaBe2CuHg

Crystalline TaBe2CuHg at its relaxed geometry (PBE, Alexandria).

Cell and atoms, written as POSCAR:
```
TaBe2CuHg
1.0
4.1198 0.0000 0.0000
0.0000 4.1198 0.0000
0.0000 0.0000 4.6367
Ta Be Cu Hg
1 2 1 1
Direct
0.0000 0.0000 0.0000 Ta
0.0000 0.5000 0.5000 Be
0.5000 0.0000 0.5000 Be
0.5000 0.5000 0.5000 Cu
0.5000 0.5000 0.0000 Hg
```

Results
- ΔH_f (0 K): 0.9377 eV/atom
- N(E_F): 0.4990 states/eV per atom
- E_tot: -3.80 eV/atom